(1)
# CuBiTe2I | Alexandria | PBE | relaxed
data_CuBiTe2I
_space_group_name_H-M_alt 'P 1'
_space_group_IT_number 1
_cell_length_a 5.961
_cell_length_b 5.961
_cell_length_c 6.062
_cell_angle_alpha 90.00
_cell_angle_beta 90.00
_cell_angle_gamma 90.00
loop_
_space_group_symop_operation_xyz
'x,y,z'
loop_
_atom_site_label
_atom_site_type_symbol
_atom_site_fract_x
_atom_site_fract_y
_atom_site_fract_z
Cu1 Cu 0.000 0.000 0.000
Bi1 Bi 0.500 0.500 0.500
Te1 Te 0.000 0.500 0.500
Te2 Te 0.500 0.000 0.500
I1 I 0.500 0.500 0.000
# - crystal system = tetragonal
# - energy relative to the elements, uncorrected (eV per atom) = 0.77
# - SG = P4/mmm, No. 123
# - offset from the most stable computed form (eV/f.u.) = 2.53

=====

(2)
# TlCuBiI5 | Alexandria | PBE | relaxed
data_TlCuBiI5
_space_group_name_H-M_alt 'P 1'
_space_group_IT_number 1
_cell_length_a 8.362
_cell_length_b 8.362
_cell_length_c 11.270
_cell_angle_alpha 103.99
_cell_angle_beta 103.99
_cell_angle_gamma 106.73
loop_
_space_group_symop_operation_xyz
'x,y,z'
loop_
_atom_site_label
_atom_site_type_symbol
_atom_site_fract_x
_atom_site_fract_y
_atom_site_fract_z
Tl1 Tl 0.129 0.871 0.750
Tl2 Tl 0.871 0.129 0.250
Cu1 Cu 0.194 0.806 0.250
Cu2 Cu 0.806 0.194 0.750
Bi1 Bi 0.500 0.500 0.000
Bi2 Bi 0.500 0.500 0.500
I1 I 0.104 0.256 0.936
I2 I 0.169 0.581 0.375
I3 I 0.256 0.104 0.436
I4 I 0.403 0.597 0.750
I5 I 0.419 0.831 0.125
I6 I 0.581 0.169 0.875
I7 I 0.597 0.403 0.250
I8 I 0.744 0.896 0.564
I9 I 0.831 0.419 0.625
I10 I 0.896 0.744 0.064
# - crystal system = monoclinic
# - energy relative to the elements, uncorrected (eV per atom) = -0.40
# - SG = C2/c, No. 15

=====

(3)
# V2CuBiI | Alexandria | PBE | relaxed
data_V2CuBiI
_space_group_name_H-M_alt 'P 1'
_space_group_IT_number 1
_cell_length_a 5.005
_cell_length_b 5.005
_cell_length_c 6.039
_cell_angle_alpha 90.00
_cell_angle_beta 90.00
_cell_angle_gamma 90.00
loop_
_space_group_symop_operation_xyz
'x,y,z'
loop_
_atom_site_label
_atom_site_type_symbol
_atom_site_fract_x
_atom_site_fract_y
_atom_site_fract_z
V1 V 0.000 0.500 0.000
V2 V 0.500 0.000 0.000
Cu1 Cu 0.000 0.000 0.500
Bi1 Bi 0.500 0.500 0.500
I1 I 0.500 0.500 0.000
# - crystal system = tetragonal
# - energy relative to the elements, uncorrected (eV per atom) = 1.64
# - SG = P4/mmm, No. 123

=====

(4)
# InCu2Bi2 | Alexandria | PBE | relaxed
data_InCu2Bi2
_space_group_name_H-M_alt 'P 1'
_space_group_IT_number 1
_cell_length_a 4.811
_cell_length_b 4.811
_cell_length_c 10.822
_cell_angle_alpha 90.00
_cell_angle_beta 90.00
_cell_angle_gamma 90.00
loop_
_space_group_symop_operation_xyz
'x,y,z'
loop_
_atom_site_label
_atom_site_type_symbol
_atom_site_fract_x
_atom_site_fract_y
_atom_site_fract_z
In1 In 0.000 0.000 0.000
In2 In 0.500 0.500 0.500
Cu1 Cu 0.000 0.000 0.387
Cu2 Cu 0.000 0.000 0.613
Cu3 Cu 0.500 0.500 0.113
Cu4 Cu 0.500 0.500 0.887
Bi1 Bi 0.000 0.500 0.250
Bi2 Bi 0.000 0.500 0.750
Bi3 Bi 0.500 0.000 0.250
Bi4 Bi 0.500 0.000 0.750
# - crystal system = tetragonal
# - SG = I4/mmm, No. 139
# - offset from the most stable computed form (eV/f.u.) = 0.90
# - energy relative to the elements (eV/atom) = 0.29

=====

(5)
# InCu2Bi2 | Alexandria | PBE | relaxed
data_InCu2Bi2
_space_group_name_H-M_alt 'P 1'
_space_group_IT_number 1
_cell_length_a 7.281
_cell_length_b 7.281
_cell_length_c 4.194
_cell_angle_alpha 90.00
_cell_angle_beta 90.00
_cell_angle_gamma 90.00
loop_
_space_group_symop_operation_xyz
'x,y,z'
loop_
_atom_site_label
_atom_site_type_symbol
_atom_site_fract_x
_atom_site_fract_y
_atom_site_fract_z
In1 In 0.000 0.000 0.000
In2 In 0.500 0.500 0.000
Cu1 Cu 0.122 0.378 0.000
Cu2 Cu 0.378 0.878 0.000
Cu3 Cu 0.622 0.122 0.000
Cu4 Cu 0.878 0.622 0.000
Bi1 Bi 0.174 0.674 0.500
Bi2 Bi 0.326 0.174 0.500
Bi3 Bi 0.674 0.826 0.500
Bi4 Bi 0.826 0.326 0.500
# - crystal system = tetragonal
# - SG = P4/mbm, No. 127
# - offset from the most stable computed form (eV/f.u.) = 0.33
# - energy relative to the elements (eV/atom) = 0.17

=====

(6)
# In2Cu2Bi | Alexandria | PBE | relaxed
data_In2Cu2Bi
_space_group_name_H-M_alt 'P 1'
_space_group_IT_number 1
_cell_length_a 3.469
_cell_length_b 3.469
_cell_length_c 18.562
_cell_angle_alpha 90.00
_cell_angle_beta 90.00
_cell_angle_gamma 90.00
loop_
_space_group_symop_operation_xyz
'x,y,z'
loop_
_atom_site_label
_atom_site_type_symbol
_atom_site_fract_x
_atom_site_fract_y
_atom_site_fract_z
In1 In 0.000 0.000 0.130
In2 In 0.000 0.000 0.870
In3 In 0.500 0.500 0.370
In4 In 0.500 0.500 0.630
Cu1 Cu 0.000 0.500 0.250
Cu2 Cu 0.000 0.500 0.750
Cu3 Cu 0.500 0.000 0.250
Cu4 Cu 0.500 0.000 0.750
Bi1 Bi 0.000 0.000 0.500
Bi2 Bi 0.500 0.500 0.000
# - crystal system = tetragonal
# - SG = I4/mmm, No. 139
# - offset from the most stable computed form (eV/f.u.) = 0.02
# - energy relative to the elements (eV/atom) = 0.15

=====

(7)
# InCu2Bi2 | Alexandria | PBE | relaxed
data_InCu2Bi2
_space_group_name_H-M_alt 'P 1'
_space_group_IT_number 1
_cell_length_a 8.578
_cell_length_b 8.578
_cell_length_c 3.211
_cell_angle_alpha 90.00
_cell_angle_beta 90.00
_cell_angle_gamma 90.00
loop_
_space_group_symop_operation_xyz
'x,y,z'
loop_
_atom_site_label
_atom_site_type_symbol
_atom_site_fract_x
_atom_site_fract_y
_atom_site_fract_z
In1 In 0.000 0.000 0.000
In2 In 0.500 0.500 0.000
Cu1 Cu 0.111 0.389 0.500
Cu2 Cu 0.389 0.889 0.500
Cu3 Cu 0.611 0.111 0.500
Cu4 Cu 0.889 0.611 0.500
Bi1 Bi 0.171 0.671 0.000
Bi2 Bi 0.329 0.171 0.000
Bi3 Bi 0.671 0.829 0.000
Bi4 Bi 0.829 0.329 0.000
# - crystal system = tetragonal
# - SG = P4/mbm, No. 127
# - offset from the most stable computed form (eV/f.u.) = 0.96
# - energy relative to the elements (eV/atom) = 0.30

=====

(8)
# InCu2Bi2 | Alexandria | PBE | relaxed
data_InCu2Bi2
_space_group_name_H-M_alt 'P 1'
_space_group_IT_number 1
_cell_length_a 3.488
_cell_length_b 3.488
_cell_length_c 19.941
_cell_angle_alpha 90.00
_cell_angle_beta 90.00
_cell_angle_gamma 90.00
loop_
_space_group_symop_operation_xyz
'x,y,z'
loop_
_atom_site_label
_atom_site_type_symbol
_atom_site_fract_x
_atom_site_fract_y
_atom_site_fract_z
In1 In 0.000 0.000 0.000
In2 In 0.500 0.500 0.500
Cu1 Cu 0.000 0.500 0.250
Cu2 Cu 0.000 0.500 0.750
Cu3 Cu 0.500 0.000 0.250
Cu4 Cu 0.500 0.000 0.750
Bi1 Bi 0.000 0.000 0.365
Bi2 Bi 0.000 0.000 0.635
Bi3 Bi 0.500 0.500 0.135
Bi4 Bi 0.500 0.500 0.865
# - crystal system = tetragonal
# - SG = I4/mmm, No. 139
# - offset from the most stable computed form (eV/f.u.) = 0.00
# - energy relative to the elements (eV/atom) = 0.11

=====

Spin magnetization for the records above, in order: 0.00; 0.00; 5.91; 0.00; 0.00; 0.00; 0.00; 0.00 μB per cell
Volume for the records above, in order: 43.07; 43.13; 30.26; 25.05; 22.23; 22.34; 23.62; 24.26 Å³ per atom